Material: SrCr2CdO8
Method: DFT, GGA+U
State: optimized geometry

The calculation puts the total energy at -227.26 eV per cell.

It has space group R-3 (No. 148, hexagonal axes), with a = 5.1766 Å, b = 5.1766 Å, c = 21.8006 Å, α = 90.00°, β = 90.00° and γ = 120.00°. The distinct sites, in fractional coordinates, are Sr at (0.0000, 0.0000, 0.0000), Cr at (0.0000, 0.0000, 0.2524), Cd at (0.0000, 0.0000, 0.5000), O at (0.0000, 0.0000, 0.3283) and O at (0.0154, 0.3683, 0.4367).